[1]
Density functional theory data (PBE-GGA) for a geometry-optimized ErPuCu10 structure.

Values from the calculation:
total magnetization: 6.0 μB per formula unit
total energy: -0.187 Ha/atom
energy of formation from the pure elements: -107 meV per atom

```
ErPuCu10
1.0
-1.801 -3.059 1.987
-1.738 -1.817 -4.372
7.202 -4.803 -0.867
Cu Er Pu
10 1 1
Direct
0.500 0.752 0.753
0.500 0.248 0.753
0.000 0.000 0.670
0.500 0.752 0.247
0.500 0.500 0.000
0.500 0.248 0.247
0.000 0.500 0.164
0.000 0.000 0.330
0.500 0.000 0.500
0.000 0.500 0.836
0.000 0.000 0.000
0.000 0.500 0.500
```


[2]
Density functional theory data (PBE-GGA) for a geometry-optimized ErPuCu4 structure.

Values from the calculation:
total magnetization: 5.9 μB per formula unit
total energy: -0.219 Ha/atom
energy of formation from the pure elements: -77 meV per atom

```
ErPuCu4
1.0
-4.323 -1.870 -2.278
-2.022 -4.561 1.574
-4.518 -0.087 2.637
Cu Er Pu
4 1 1
Direct
0.625 0.625 0.625
0.126 0.625 0.625
0.625 0.126 0.625
0.625 0.625 0.126
0.250 0.250 0.250
0.000 0.000 0.000
```


[3]
Density functional theory data (PBE-GGA) for a geometry-optimized Er2PuCu structure.

Values from the calculation:
polymorph energy (0 for the lowest one): 293 meV per atom
total magnetization: 7.1 μB per formula unit
total energy: -0.244 Ha/atom
energy of formation from the pure elements: 257 meV per atom

```
Er2PuCu
1.0
5.166 0.000 0.000
2.583 4.474 0.000
2.583 1.491 4.220
Cu Pu Er
1 1 2
Direct
0.500 0.500 0.500
0.000 0.000 0.000
0.750 0.750 0.750
0.250 0.250 0.250
```